Run 1
Compound: ZrAl3F
Source: the Alexandria database
Functional: PBE
Structure: optimized geometry

extended XYZ file:
```
5
Lattice="5.423 0.000 0.000 0.000 5.423 0.000 0.000 0.000 5.423" Properties=species:S:1:pos:R:3 pbc="T T T"
Al 0.000 2.711 0.000
Al 0.000 0.000 2.711
Al 2.711 0.000 0.000
Zr 0.000 0.000 0.000
F 2.711 2.711 2.711
```

Output
Its space-group type is Pm-3m.


Run 2
Compound: ZrAl3F
Source: the Alexandria database
Functional: PBE
Structure: optimized geometry

extended XYZ file:
```
5
Lattice="-4.216 -0.985 0.023 0.405 -1.640 3.986 -0.898 3.884 1.690" Properties=species:S:1:pos:R:3 pbc="T T T"
Al 0.203 -0.820 1.993
Al -0.449 1.942 0.845
Al -2.108 -0.492 0.012
Zr -2.354 0.629 2.849
F 0.000 0.000 0.000
```

Output
Its space-group type is Pm-3m.


It is run 2 that is most stable; the runner-up trails by 1404 meV per atom.


Run 1
Compound: Al2Fe3
Source: the Alexandria database
Functional: PBE
Structure: optimized geometry

extended XYZ file:
```
5
Lattice="0.022 1.473 -3.693 -1.584 -3.578 0.704 -4.428 2.122 0.820" Properties=species:S:1:pos:R:3 pbc="T T T"
Al -1.198 0.117 -2.101
Al -4.792 -0.100 -0.068
Fe 0.000 0.000 0.000
Fe -3.345 1.146 -1.703
Fe -2.645 -1.129 -0.466
```

Output
Its space-group type is P-3m1.


Run 2
Compound: Al2Fe3
Source: the Alexandria database
Functional: PBE
Structure: optimized geometry

extended XYZ file:
```
5
Lattice="11.518 -1.326 0.105 11.518 1.326 0.105 11.344 0.000 2.396" Properties=species:S:1:pos:R:3 pbc="T T T"
Al 18.495 0.000 1.402
Al 15.884 0.000 1.204
Fe 0.000 0.000 0.000
Fe 2.369 0.000 0.180
Fe 32.010 0.000 2.426
```

Output
Its space-group type is R-3m.


Run 3
Compound: Al2Fe3
Source: the Alexandria database
Functional: PBE
Structure: optimized geometry

extended XYZ file:
```
10
Lattice="4.915 0.000 0.000 -2.458 3.693 0.000 0.000 0.000 7.461" Properties=species:S:1:pos:R:3 pbc="T T T"
Al 0.000 1.139 4.247
Al 2.458 2.554 3.213
Al 0.000 2.554 0.517
Al 2.458 1.139 6.944
Fe 2.458 0.000 3.730
Fe 0.000 0.000 0.000
Fe 1.229 2.846 5.596
Fe 3.687 0.847 1.865
Fe -1.229 2.846 5.596
Fe 1.229 0.847 1.865
```

Output
Its space-group type is Cmce.


It is run 3 that is most stable; the runner-up trails by 179 meV per atom.


Run 1
Compound: Al5Fe3
Source: the Alexandria database
Functional: PBE
Structure: optimized geometry

extended XYZ file:
```
8
Lattice="3.804 0.541 -1.292 -0.968 3.718 -1.292 0.123 0.184 6.795" Properties=species:S:1:pos:R:3 pbc="T T T"
Al 2.327 0.910 0.874
Al 0.000 0.000 0.000
Al 0.630 3.533 3.336
Al -0.059 2.498 0.874
Al 3.016 1.945 3.336
Fe 2.182 3.279 1.440
Fe 1.418 2.130 -1.292
Fe 0.775 1.165 2.770
```

Output
Its space-group type is I4/mmm.


Run 2
Compound: Al5Fe3
Source: the Alexandria database
Functional: PBE
Structure: optimized geometry

extended XYZ file:
```
16
Lattice="-0.332 6.072 -3.901 -4.227 -5.299 2.495 1.396 3.002 6.189" Properties=species:S:1:pos:R:3 pbc="T T T"
Fe -1.150 0.167 -0.336
Fe -3.411 0.609 -1.068
Fe 0.032 5.740 2.980
Fe -3.197 -1.963 1.809
Fe -2.440 2.908 1.578
Fe -0.725 0.868 3.212
Al -0.598 4.705 0.755
Al -2.567 -0.928 4.032
Al 0.030 1.931 1.102
Al -3.197 1.844 3.686
Al -1.397 1.189 5.615
Al -1.769 2.590 -0.826
Al -0.285 3.306 3.349
Al -2.881 0.472 1.436
Al -0.992 4.861 -2.105
Al -2.175 -1.082 6.890
```

Output
Its space-group type is C2/m.


Run 3
Compound: Al5Fe3
Source: the Alexandria database
Functional: PBE
Structure: optimized geometry

extended XYZ file:
```
16
Lattice="7.123 0.000 0.000 -3.561 6.169 0.000 0.000 0.000 4.920" Properties=species:S:1:pos:R:3 pbc="T T T"
Fe 4.279 0.000 1.230
Fe 2.843 0.000 3.690
Fe -2.140 3.706 1.230
Fe 1.422 2.462 1.230
Fe 2.140 3.706 3.690
Fe -1.422 2.462 3.690
Al 0.000 4.112 0.000
Al 3.561 2.056 2.460
Al 3.561 2.056 0.000
Al 0.000 4.112 2.460
Al 1.739 0.000 1.230
Al 5.384 0.000 3.690
Al -0.869 1.506 1.230
Al 2.692 4.663 1.230
Al 0.869 1.506 3.690
Al -2.692 4.663 3.690
```

Output
Its space-group type is P6_3/mcm.


It is run 1 that is most stable; the runner-up trails by 62 meV per atom.